Entry 1:
Here is Rb3BaHg at its PBEsol-relaxed geometry from Alexandria. Energies are from meta-GGA SCAN.

Cell: 8.591 8.591 8.591 Å, 90.00 90.00 90.00°
Space group Pm-3m (No. 221)
Symmetry-distinct sites (fractional):
Rb 0.000 0.000 0.500 x3
Ba 0.000 0.000 0.000 x1
Hg 0.500 0.500 0.500 x1

Relative energy among the computed polymorphs, meV/atom: 476.5
N(E_F), states/eV/cell: 5.5
E_form, meV per atom: 502
Size of the total moment, μB/f.u.: 1.10

Entry 2:
Here is Rb3BaHg at its PBEsol-relaxed geometry from Alexandria. Energies are from meta-GGA SCAN.

Cell: 6.918 6.918 6.918 Å, 90.00 90.00 90.00°
Space group Pm-3m (No. 221)
Symmetry-distinct sites (fractional):
Rb 0.000 0.000 0.500 x3
Ba 0.500 0.500 0.500 x1
Hg 0.000 0.000 0.000 x1

Relative energy among the computed polymorphs, meV/atom: 0.0
N(E_F), states/eV/cell: 4.3
E_form, meV per atom: 26
Size of the total moment, μB/f.u.: 0.00

Entry 3:
Here is BaTlRe2Hg at its PBEsol-relaxed geometry from Alexandria. Energies are from meta-GGA SCAN.

Cell: 5.226 5.226 5.943 Å, 90.00 90.00 90.00°
Space group P4/mmm (No. 123)
Symmetry-distinct sites (fractional):
Ba 0.000 0.000 0.000 x1
Tl 0.500 0.500 0.500 x1
Re 0.000 0.500 0.000 x2
Hg 0.000 0.000 0.500 x1

N(E_F), states/eV/cell: 4.3
E_form, meV per atom: 2856
Size of the total moment, μB/f.u.: 4.91

Entry 4:
Here is BaHg3Rh at its PBEsol-relaxed geometry from Alexandria. Energies are from meta-GGA SCAN.

Cell: 5.184 5.184 5.184 Å, 90.00 90.00 90.00°
Space group Pm-3m (No. 221)
Symmetry-distinct sites (fractional):
Ba 0.000 0.000 0.000 x1
Hg 0.000 0.500 0.500 x3
Rh 0.500 0.500 0.500 x1

Relative energy among the computed polymorphs, meV/atom: 0.0
N(E_F), states/eV/cell: 3.0
E_form, meV per atom: -388
Size of the total moment, μB/f.u.: 0.00

Entry 5:
Here is Ba3HgRh at its PBEsol-relaxed geometry from Alexandria. Energies are from meta-GGA SCAN.

Cell: 5.867 5.867 5.867 Å, 90.00 90.00 90.00°
Space group Pm-3m (No. 221)
Symmetry-distinct sites (fractional):
Ba 0.000 0.000 0.500 x3
Hg 0.500 0.500 0.500 x1
Rh 0.000 0.000 0.000 x1

N(E_F), states/eV/cell: 4.0
E_form, meV per atom: -249
Size of the total moment, μB/f.u.: 0.00

Entry 6:
Here is BaHg3Rh at its PBEsol-relaxed geometry from Alexandria. Energies are from meta-GGA SCAN.

Cell: 6.008 6.008 6.008 Å, 90.00 90.00 90.00°
Space group Pm-3m (No. 221)
Symmetry-distinct sites (fractional):
Ba 0.000 0.000 0.000 x1
Hg 0.000 0.000 0.500 x3
Rh 0.500 0.500 0.500 x1

Relative energy among the computed polymorphs, meV/atom: 1433.0
N(E_F), states/eV/cell: 3.2
E_form, meV per atom: 1045
Size of the total moment, μB/f.u.: 1.81

Entry 7:
Here is BaHg2Rh at its PBEsol-relaxed geometry from Alexandria. Energies are from meta-GGA SCAN.

Cell: 7.259 7.259 7.259 Å, 90.00 90.00 90.00°
Space group F-43m (No. 216)
Symmetry-distinct sites (fractional):
Ba 0.000 0.000 0.000 x4
Hg 0.000 0.000 0.500 x4
Hg 0.250 0.250 0.250 x4
Rh 0.250 0.250 0.750 x4

N(E_F), states/eV/cell: 9.6
E_form, meV per atom: 14
Size of the total moment, μB/f.u.: 0.00

Entry 8:
Here is BaHg2Rh at its PBEsol-relaxed geometry from Alexandria. Energies are from meta-GGA SCAN.

Cell: 4.014 4.492 11.241 Å, 90.00 90.00 90.00°
Space group Amm2 (No. 38)
Symmetry-distinct sites (fractional):
Ba 0.000 0.000 0.000 x2
Hg 0.000 0.000 0.715 x2
Hg 0.500 0.000 0.308 x2
Rh 0.500 0.000 0.553 x2

N(E_F), states/eV/cell: 3.5
E_form, meV per atom: -171
Size of the total moment, μB/f.u.: 0.00

Entry 9:
Here is BaHg2Rh at its PBEsol-relaxed geometry from Alexandria. Energies are from meta-GGA SCAN.

Cell: 4.324 4.324 5.078 Å, 90.00 90.00 90.00°
Space group P4/mmm (No. 123)
Symmetry-distinct sites (fractional):
Ba 0.000 0.000 0.000 x1
Hg 0.000 0.500 0.500 x2
Rh 0.500 0.500 0.000 x1

N(E_F), states/eV/cell: 2.7
E_form, meV per atom: 34
Size of the total moment, μB/f.u.: 0.00

Entry 10:
Here is BaHg3Ru at its PBEsol-relaxed geometry from Alexandria. Energies are from meta-GGA SCAN.

Cell: 5.992 5.992 5.992 Å, 90.00 90.00 90.00°
Space group Pm-3m (No. 221)
Symmetry-distinct sites (fractional):
Ba 0.000 0.000 0.000 x1
Hg 0.000 0.000 0.500 x3
Ru 0.500 0.500 0.500 x1

N(E_F), states/eV/cell: 6.7
E_form, meV per atom: 1297
Size of the total moment, μB/f.u.: 2.55

Entry 11:
Here is BaHg2RuS at its PBEsol-relaxed geometry from Alexandria. Energies are from meta-GGA SCAN.

Cell: 6.096 6.096 5.108 Å, 90.00 90.00 90.00°
Space group P4/mmm (No. 123)
Symmetry-distinct sites (fractional):
Ba 0.000 0.000 0.000 x1
Hg 0.000 0.500 0.000 x2
Ru 0.000 0.000 0.500 x1
S 0.500 0.500 0.500 x1

N(E_F), states/eV/cell: 1.6
Size of the total moment, μB/f.u.: 2.21
Formation energy (no corrections), meV/atom: 1300

Entry 12:
Here is Ba2HgTeRu at its PBEsol-relaxed geometry from Alexandria. Energies are from meta-GGA SCAN.

Cell: 5.627 5.627 5.128 Å, 90.00 90.00 90.00°
Space group P4/mmm (No. 123)
Symmetry-distinct sites (fractional):
Ba 0.000 0.500 0.000 x2
Hg 0.000 0.000 0.500 x1
Te 0.500 0.500 0.500 x1
Ru 0.000 0.000 0.000 x1

N(E_F), states/eV/cell: 1.7
Size of the total moment, μB/f.u.: 0.00
Formation energy (no corrections), meV/atom: -456

Entry 13:
Here is Ba2ZnHgRu at its PBEsol-relaxed geometry from Alexandria. Energies are from meta-GGA SCAN.

Cell: 5.944 5.944 4.763 Å, 90.00 90.00 90.00°
Space group P4/mmm (No. 123)
Symmetry-distinct sites (fractional):
Ba 0.000 0.500 0.000 x2
Zn 0.000 0.000 0.000 x1
Hg 0.000 0.000 0.500 x1
Ru 0.500 0.500 0.500 x1

N(E_F), states/eV/cell: 6.6
E_form, meV per atom: 571
Size of the total moment, μB/f.u.: 1.10

Entry 14:
Here is BaHgS2 at its PBEsol-relaxed geometry from Alexandria. Energies are from meta-GGA SCAN.

Cell: 4.8680 4.8680 22.3157 Å, 90.00 90.00 120.00°
Space group R-3m (No. 166, hexagonal axes)
Symmetry-distinct sites (fractional):
Ba 0.0000 0.0000 0.0000 x3
Hg 0.0000 0.0000 0.5000 x3
S 0.0000 0.0000 0.3969 x6

N(E_F), states/eV/cell: 0.0
Size of the total moment, μB/f.u.: 0.00
Formation energy (no corrections), meV/atom: -1261

Entry 15:
Here is BaHg2Sb at its PBEsol-relaxed geometry from Alexandria. Energies are from meta-GGA SCAN.

Cell: 4.800 4.800 5.067 Å, 90.00 90.00 90.00°
Space group P4/mmm (No. 123)
Symmetry-distinct sites (fractional):
Ba 0.000 0.000 0.000 x1
Hg 0.000 0.500 0.500 x2
Sb 0.500 0.500 0.000 x1

N(E_F), states/eV/cell: 2.3
Size of the total moment, μB/f.u.: 0.00
Formation energy (no corrections), meV/atom: -468

Entry 16:
Here is BaHg2Sb at its PBEsol-relaxed geometry from Alexandria. Energies are from meta-GGA SCAN.

Cell: 6.804 11.686 3.363 Å, 90.00 117.97 90.00°
Space group C2/m (No. 12)
Symmetry-distinct sites (fractional):
Ba 0.000 0.000 0.000 x2
Hg 0.250 0.250 0.500 x4
Sb 0.000 0.500 0.000 x2

N(E_F), states/eV/cell: 3.1
Size of the total moment, μB/f.u.: 0.00
Formation energy (no corrections), meV/atom: -325

Entry 17:
Here is BaHgSb2 at its PBEsol-relaxed geometry from Alexandria. Energies are from meta-GGA SCAN.

Cell: 7.830 7.830 7.830 Å, 90.00 90.00 90.00°
Space group F-43m (No. 216)
Symmetry-distinct sites (fractional):
Ba 0.000 0.000 0.000 x4
Hg 0.250 0.250 0.250 x4
Sb 0.000 0.000 0.500 x4
Sb 0.250 0.250 0.750 x4

N(E_F), states/eV/cell: 12.2
Size of the total moment, μB/f.u.: 0.00
Formation energy (no corrections), meV/atom: -393

Entry 18:
Here is BaHgSb2 at its PBEsol-relaxed geometry from Alexandria. Energies are from meta-GGA SCAN.

Cell: 6.739 10.114 3.485 Å, 90.00 90.00 90.00°
Space group Cmmm (No. 65)
Symmetry-distinct sites (fractional):
Ba 0.000 0.000 0.000 x2
Hg 0.000 0.500 0.000 x2
Sb 0.250 0.250 0.500 x4

N(E_F), states/eV/cell: 4.4
Size of the total moment, μB/f.u.: 0.00
Formation energy (no corrections), meV/atom: -347

Entry 19:
Here is BaHgSb2 at its PBEsol-relaxed geometry from Alexandria. Energies are from meta-GGA SCAN.

Cell: 5.1517 5.1517 16.7534 Å, 90.00 90.00 120.00°
Space group R3m (No. 160, hexagonal axes)
Symmetry-distinct sites (fractional):
Ba 0.0000 0.0000 0.0000 x3
Hg 0.0000 0.0000 0.2346 x3
Sb 0.0000 0.0000 0.4959 x3
Sb 0.0000 0.0000 0.7898 x3

N(E_F), states/eV/cell: 3.4
Size of the total moment, μB/f.u.: 0.00
Formation energy (no corrections), meV/atom: -574

Entry 20:
Here is BaHgSb2 at its PBEsol-relaxed geometry from Alexandria. Energies are from meta-GGA SCAN.

Cell: 3.538 5.442 6.658 Å, 90.00 90.00 90.00°
Space group Pmmm (No. 47)
Symmetry-distinct sites (fractional):
Ba 0.000 0.000 0.000 x1
Hg 0.000 0.000 0.500 x1
Sb 0.500 0.500 0.217 x2

N(E_F), states/eV/cell: 1.9
Size of the total moment, μB/f.u.: 0.00
Formation energy (no corrections), meV/atom: -378

Entry 21:
Here is BaHgSb2 at its PBEsol-relaxed geometry from Alexandria. Energies are from meta-GGA SCAN.

Cell: 7.819 7.819 7.819 Å, 90.00 90.00 90.00°
Space group Fm-3m (No. 225)
Symmetry-distinct sites (fractional):
Ba 0.000 0.000 0.000 x4
Hg 0.000 0.000 0.500 x4
Sb 0.250 0.250 0.250 x8

N(E_F), states/eV/cell: 14.8
Size of the total moment, μB/f.u.: 0.00
Formation energy (no corrections), meV/atom: -172

Entry 22:
Here is BaHg2Sb at its PBEsol-relaxed geometry from Alexandria. Energies are from meta-GGA SCAN.

Cell: 4.857 5.400 5.042 Å, 90.00 91.50 90.00°
Space group P2/m (No. 10)
Symmetry-distinct sites (fractional):
Ba 0.000 0.000 0.000 x1
Hg 0.328 0.500 0.740 x2
Sb 0.500 0.000 0.500 x1

N(E_F), states/eV/cell: 1.9
Size of the total moment, μB/f.u.: 0.00
Formation energy (no corrections), meV/atom: -516

Entry 23:
Here is BaHg2Sb at its PBEsol-relaxed geometry from Alexandria. Energies are from meta-GGA SCAN.

Cell: 7.818 7.818 7.818 Å, 90.00 90.00 90.00°
Space group F-43m (No. 216)
Symmetry-distinct sites (fractional):
Ba 0.000 0.000 0.000 x4
Hg 0.000 0.000 0.500 x4
Hg 0.250 0.250 0.750 x4
Sb 0.250 0.250 0.250 x4

N(E_F), states/eV/cell: 4.8
Size of the total moment, μB/f.u.: 0.00
Formation energy (no corrections), meV/atom: -489

Entry 24:
Here is BaHgSb2 at its PBEsol-relaxed geometry from Alexandria. Energies are from meta-GGA SCAN.

Cell: 4.667 4.489 5.953 Å, 90.00 92.51 90.00°
Space group Pm (No. 6)
Symmetry-distinct sites (fractional):
Ba 0.000 0.000 0.000 x1
Hg 0.515 0.500 0.150 x1
Sb 0.033 0.500 0.518 x1
Sb 0.463 0.000 0.532 x1

N(E_F), states/eV/cell: 1.3
Size of the total moment, μB/f.u.: 0.00
Formation energy (no corrections), meV/atom: -592

Entry 25:
Here is BaHg2Sb at its PBEsol-relaxed geometry from Alexandria. Energies are from meta-GGA SCAN.

Cell: 4.8265 4.8265 18.2319 Å, 90.00 90.00 120.00°
Space group R3m (No. 160, hexagonal axes)
Symmetry-distinct sites (fractional):
Ba 0.0000 0.0000 0.0000 x3
Hg 0.0000 0.0000 0.4968 x3
Hg 0.0000 0.0000 0.7647 x3
Sb 0.0000 0.0000 0.2186 x3

N(E_F), states/eV/cell: 4.9
Size of the total moment, μB/f.u.: 0.00
Formation energy (no corrections), meV/atom: -552

Entry 26:
Here is BaHg2Sb at its PBEsol-relaxed geometry from Alexandria. Energies are from meta-GGA SCAN.

Cell: 5.051 5.051 9.085 Å, 90.00 90.00 90.00°
Space group I4/mmm (No. 139)
Symmetry-distinct sites (fractional):
Ba 0.000 0.000 0.000 x2
Hg 0.000 0.500 0.250 x4
Sb 0.000 0.000 0.500 x2

N(E_F), states/eV/cell: 2.9
Size of the total moment, μB/f.u.: 0.00
Formation energy (no corrections), meV/atom: -568

Entry 27:
Here is BaHgSb2 at its PBEsol-relaxed geometry from Alexandria. Energies are from meta-GGA SCAN.

Cell: 4.418 5.500 10.265 Å, 90.00 90.00 90.00°
Space group Imm2 (No. 44)
Symmetry-distinct sites (fractional):
Ba 0.000 0.000 0.000 x2
Hg 0.000 0.500 0.787 x2
Sb 0.000 0.000 0.537 x2
Sb 0.000 0.500 0.223 x2

N(E_F), states/eV/cell: 1.8
Size of the total moment, μB/f.u.: 0.00
Formation energy (no corrections), meV/atom: -528

Entry 28:
Here is BaHgSb2 at its PBEsol-relaxed geometry from Alexandria. Energies are from meta-GGA SCAN.

Cell: 11.987 4.559 4.870 Å, 90.00 111.84 90.00°
Space group C2/m (No. 12)
Symmetry-distinct sites (fractional):
Ba 0.000 0.000 0.000 x2
Hg 0.000 0.500 0.500 x2
Sb 0.244 0.000 0.693 x4

N(E_F), states/eV/cell: 2.4
Size of the total moment, μB/f.u.: 0.00
Formation energy (no corrections), meV/atom: -551

Entry 29:
Here is BaHgSb2 at its PBEsol-relaxed geometry from Alexandria. Energies are from meta-GGA SCAN.

Cell: 4.712 4.712 5.320 Å, 90.00 90.00 90.00°
Space group P4/mmm (No. 123)
Symmetry-distinct sites (fractional):
Ba 0.000 0.000 0.000 x1
Hg 0.500 0.500 0.000 x1
Sb 0.000 0.500 0.500 x2

N(E_F), states/eV/cell: 2.1
Size of the total moment, μB/f.u.: 0.00
Formation energy (no corrections), meV/atom: -513

Entry 30:
Here is Ba2ScHg at its PBEsol-relaxed geometry from Alexandria. Energies are from meta-GGA SCAN.

Cell: 3.868 5.940 12.365 Å, 90.00 90.00 90.00°
Space group Imm2 (No. 44)
Symmetry-distinct sites (fractional):
Ba 0.000 0.000 0.000 x2
Ba 0.000 0.500 0.200 x2
Sc 0.000 0.000 0.411 x2
Hg 0.000 0.500 0.742 x2

N(E_F), states/eV/cell: 8.8
E_form, meV per atom: -168
Size of the total moment, μB/f.u.: 0.00